A relaxed NaSm2PaSb4 crystal. Source: Alexandria, functional PBE.

Values from the calculation:
Raw total energy in eV/atom: -5.33
Spin magnetization in Bohr magnetons per cell: 0.0
Formation energy without anion corrections in kJ/mol of atoms: -70.7
Calculated volume in Å³ per atom: 31.2

Lattice parameters (Å, degrees): 7.652 4.464 7.718 90.00 108.69 90.00
Element x y z (fractional)
Na: 0.000 0.000 0.000
Sm: 0.000 0.500 0.500
Sm: 0.500 0.000 0.500
Pa: 0.500 0.500 0.000
Sb: 0.257 0.000 0.758
Sb: 0.262 0.500 0.247
Sb: 0.738 0.500 0.753
Sb: 0.743 0.000 0.242